Record 1
Crystalline Co2CuHPd at its relaxed geometry. Source: Alexandria, functional GGA-PBE.

a b c (Å): 3.6536 3.6536 3.9220
angles (deg): 90.00 90.00 90.00
Last column: nearest neighbours and their distance in Å.
Element x y z (fractional)
H1 0.0000 0.0000 0.0000  4 Co 1.83, 2 Pd 1.96
Co1 0.5000 0.0000 0.0000  2 H 1.83
Co2 0.0000 0.5000 0.0000  2 H 1.83
Pd1 0.0000 0.0000 0.5000  2 H 1.96
Cu1 0.5000 0.5000 0.5000  4 Pd 2.58, 8 Co 2.68

Results
- volume (Å³ per cell) = 52.4
- space-group type = No. 123
- energy above the most stable polymorph in this dataset (kJ/mol of formula units) = 0.0

***

Record 2
Crystalline Co2CuHPd at its relaxed geometry. Source: Alexandria, functional GGA-PBE.

a b c (Å): 3.6459 3.6459 3.8934
angles (deg): 90.00 90.00 90.00
Last column: nearest neighbours and their distance in Å.
Element x y z (fractional)
Co1 0.0000 0.5000 0.0000  2 H 1.82
Co2 0.5000 0.0000 0.0000  2 H 1.82
H1 0.0000 0.0000 0.0000  4 Co 1.82, 2 Cu 1.95
Cu1 0.0000 0.0000 0.5000  2 H 1.95
Pd1 0.5000 0.5000 0.5000  4 Cu 2.58, 8 Co 2.67

Results
- volume (Å³ per cell) = 51.8
- space-group type = No. 123
- energy above the most stable polymorph in this dataset (kJ/mol of formula units) = 8.0

***

Record 3
Crystalline PmCoCuH6 at its relaxed geometry. Source: Alexandria, functional GGA-PBE.

a b c (Å): 4.4451 4.4452 4.2456
angles (deg): 90.00 90.00 60.00
Last column: nearest neighbours and their distance in Å.
Element x y z (fractional)
H1 0.4881 0.0239 0.2499  1 Co 1.60, 1 Cu 1.74
H2 0.0239 0.4882 0.7501  1 Co 1.60, 1 Cu 1.74
H3 0.4880 0.4882 0.2499  1 Co 1.60, 1 Cu 1.74
H4 0.0239 0.4880 0.2499  1 Co 1.60, 1 Cu 1.74
H5 0.4881 0.4880 0.7501  1 Co 1.60, 1 Cu 1.74
H6 0.4880 0.0239 0.7501  1 Co 1.60, 1 Cu 1.74
Pm1 0.0000 0.0000 0.0000  12 H 2.46
Cu1 0.6666 0.6667 0.5000  6 H 1.74
Co1 0.3333 0.3333 0.5000  6 H 1.60

Results
- volume (Å³ per cell) = 72.6
- uncorrected energy (eV per atom) = -4.322
- space-group type = No. 187

***

What N(E_F) values result from the calculations? In sequence: 1.167; 1.245; 0.153 states/eV/atom.